Here is a geometry-optimized MgTa2P structure from the Alexandria database. Energies are from GGA-PBEsol.

Unit cell a=4.497 b=4.497 c=4.497 alpha=60.00 beta=60.00 gamma=60.00
Sites, in units of the cell vectors:
Mg 0.000 0.000 0.000
Ta 0.250 0.250 0.250
Ta 0.500 0.500 0.500
P 0.750 0.750 0.750

The value obtained for the magnetization is 0.00 Bohr magnetons per cell. As for the polymorph energy (0 for the lowest one): 401.8 meV/atom. Its symmetry is F-43m (216). For the formation energy from the elements, the calculation gives 323 meV per atom.